# LiPd2Cl6

A relaxed LiPd2Cl6 crystal (PBE-GGA, Alexandria via LeMat-Bulk).

a = 4.0853 Å, b = 6.9748 Å, c = 8.6120 Å
α = 86.19°, β = 90.00°, γ = 107.03°
Last column: nearest neighbours and their distance in Å.
Fractional positions:
Cl  0.7647  0.5294  0.1887  2 Pd 2.35
Cl  0.0651  0.1302  0.2227  1 Pd 2.28, 1 Li 2.48
Cl  0.2353  0.4706  0.8113  2 Pd 2.35
Cl  0.9349  0.8698  0.7773  1 Pd 2.28, 1 Li 2.48
Cl  0.3693  0.7385  0.4485  1 Pd 2.36
Cl  0.6307  0.2615  0.5515  1 Pd 2.36
Pd  0.2228  0.4456  0.3103  4 Cl 2.28-2.36
Pd  0.7772  0.5544  0.6897  4 Cl 2.28-2.36
Li  0.0000  0.0000  0.5000  6 Cl 2.48-2.74

Computed properties:
Spin magnetization: 0.00 μB/cell
Calculated total energy: -3.201 eV/atom

# Li2PdCl4

A relaxed Li2PdCl4 crystal (PBE-GGA, Alexandria via LeMat-Bulk).

a = 6.8487 Å, b = 9.3296 Å, c = 9.3296 Å
α = 90.00°, β = 90.00°, γ = 90.00°
Last column: nearest neighbours and their distance in Å.
Fractional positions:
Li  0.5000  0.7039  0.2961  4 Cl 2.52-2.55
Li  0.0000  0.7961  0.2039  4 Cl 2.52-2.55
Li  0.5000  0.2961  0.7039  4 Cl 2.52-2.55
Li  0.0000  0.2039  0.7961  4 Cl 2.52-2.55
Li  0.5000  0.7961  0.7961  4 Cl 2.52-2.55
Li  0.0000  0.7039  0.7039  4 Cl 2.52-2.55
Li  0.0000  0.2961  0.2961  4 Cl 2.52-2.55
Li  0.5000  0.2039  0.2039  4 Cl 2.52-2.55
Pd  0.1936  0.0000  0.5000  4 Cl 2.33
Pd  0.6936  0.0000  0.5000  4 Cl 2.33
Pd  0.3064  0.5000  0.0000  4 Cl 2.33
Pd  0.8064  0.5000  0.0000  4 Cl 2.33
Cl  0.6866  0.0664  0.7412  1 Pd 2.33, 2 Li 2.52-2.55
Cl  0.1866  0.9337  0.7412  1 Pd 2.33, 2 Li 2.52-2.55
Cl  0.1866  0.2412  0.5664  1 Pd 2.33, 2 Li 2.52-2.55
Cl  0.6866  0.9336  0.2588  1 Pd 2.33, 2 Li 2.52-2.55
Cl  0.8134  0.5664  0.2412  1 Pd 2.33, 2 Li 2.52-2.55
Cl  0.3134  0.7412  0.0664  1 Pd 2.33, 2 Li 2.52-2.55
Cl  0.3134  0.4337  0.2412  1 Pd 2.33, 2 Li 2.52-2.55
Cl  0.8134  0.2588  0.0663  1 Pd 2.33, 2 Li 2.52-2.55
Cl  0.6866  0.7588  0.5663  1 Pd 2.33, 2 Li 2.52-2.55
Cl  0.3134  0.2588  0.9336  1 Pd 2.33, 2 Li 2.52-2.55
Cl  0.6866  0.2412  0.4337  1 Pd 2.33, 2 Li 2.52-2.55
Cl  0.1866  0.7588  0.4336  1 Pd 2.33, 2 Li 2.52-2.55
Cl  0.1866  0.0663  0.2588  1 Pd 2.33, 2 Li 2.52-2.55
Cl  0.8134  0.4336  0.7588  1 Pd 2.33, 2 Li 2.52-2.55
Cl  0.3134  0.5663  0.7588  1 Pd 2.33, 2 Li 2.52-2.55
Cl  0.8134  0.7412  0.9337  1 Pd 2.33, 2 Li 2.52-2.55

Computed properties:
Spin magnetization: 0.00 μB/cell
Energy above the most stable polymorph in this dataset: 0 meV per atom
Calculated total energy: -3.560 eV/atom

# Li6PdCl12

A relaxed Li6PdCl12 crystal (PBE-GGA, Alexandria via LeMat-Bulk).

a = 7.8646 Å, b = 7.8646 Å, c = 7.8646 Å
α = 79.24°, β = 79.24°, γ = 79.24°
Last column: nearest neighbours and their distance in Å.
Fractional positions:
Cl  0.0290  0.2982  0.9275  1 Pd 2.35, 2 Li 2.48-2.60
Cl  0.2982  0.9275  0.0290  1 Pd 2.35, 2 Li 2.48-2.60
Cl  0.7018  0.0725  0.9710  1 Pd 2.35, 2 Li 2.48-2.60
Cl  0.5798  0.4659  0.1615  3 Li 2.40-2.64
Cl  0.8385  0.4202  0.5341  3 Li 2.40-2.64
Cl  0.4202  0.5341  0.8385  3 Li 2.40-2.64
Cl  0.0725  0.9710  0.7018  1 Pd 2.35, 2 Li 2.48-2.60
Cl  0.9275  0.0290  0.2982  1 Pd 2.35, 2 Li 2.48-2.60
Cl  0.1615  0.5798  0.4659  3 Li 2.40-2.64
Cl  0.9710  0.7018  0.0725  1 Pd 2.35, 2 Li 2.48-2.60
Cl  0.5341  0.8385  0.4202  3 Li 2.40-2.64
Cl  0.4659  0.1615  0.5798  3 Li 2.40-2.64
Li  0.7142  0.3848  0.8473  5 Cl 2.40-2.64
Li  0.1527  0.2858  0.6152  5 Cl 2.40-2.64
Li  0.8473  0.7142  0.3848  5 Cl 2.40-2.64
Li  0.6152  0.1527  0.2858  5 Cl 2.40-2.64
Li  0.3848  0.8473  0.7142  5 Cl 2.40-2.64
Li  0.2858  0.6152  0.1527  5 Cl 2.40-2.64
Pd  0.0000  0.0000  0.0000  6 Cl 2.35

Computed properties:
Spin magnetization: 2.01 μB/cell
Calculated total energy: -3.162 eV/atom